1.
Material: KSnBr
Method: DFT, PBE
State: optimized geometry

Calculated values
Total moment in μB/cell: 0.00
Space group: P4/nmm (129)
Energy relative to the elements, uncorrected in eV/atom: -0.896
Raw total energy in eV for the cell shown: -18.92

Cell and atoms, written as extended XYZ:
```
6
Lattice="-1.6828 -0.9968 3.9756 0.8609 -4.2877 -0.7106 10.4516 1.3109 4.7526" Properties=species:S:1:pos:R:3 pbc="T T T"
Sn -0.4109 -2.6422 1.6325
Br 7.2296 -1.2910 2.7364
Sn 0.0000 0.0000 0.0000
K 4.1617 -1.6758 1.3414
K 5.8790 0.3445 5.0437
Br 2.8111 -0.0403 3.6487
```

---

2.
Material: FeNiIr2
Method: DFT, PBE
State: optimized geometry

Calculated values
Total moment in μB/cell: 2.72
Space group: Pmm2 (25)
ΔE_f in kJ/mol of atoms: -1.3
Raw total energy in eV for the cell shown: -32.02
Relative energy among the computed polymorphs in meV/atom: 27

Cell and atoms, written as extended XYZ:
```
4
Lattice="2.6832 0.0000 0.0000 0.0000 3.7474 0.0000 0.0000 0.0000 5.2091" Properties=species:S:1:pos:R:3 pbc="T T T"
Fe 1.3416 1.8737 3.8604
Ni 0.0000 0.0000 2.6258
Ir 0.0000 0.0000 5.1968
Ir 1.3416 1.8737 1.3397
```